DFT (GGA-PBE) results for crystalline Ba2Mg at its relaxed geometry.

**DOS(E_F)**: 8.3 states/eV per cell
**E**: -1.841 eV per atom
**DFT formation energy**: -0.027 eV per atom
**Mass density**: 3.3 g cm⁻³

a = 4.3757 Å, b = 4.3757 Å, c = 15.4919 Å
α = 90.00°, β = 90.00°, γ = 90.00°
Last column: nearest neighbours and their distance in Å.
Element x y z (fractional)
Mg (0.0000, 0.0000, 0.1426)  8 Ba 3.76-3.80
Mg (0.0000, 0.0000, 0.8574)  8 Ba 3.76-3.80
Ba (0.5000, 0.5000, 0.7191)  4 Mg 3.76
Ba (0.5000, 0.5000, 0.2809)  4 Mg 3.76
Ba (0.5000, 0.5000, 0.0000)  8 Mg 3.80
Ba (0.0000, 0.0000, 0.5000)  12 Ba 4.38-4.59